[1]
Below is a relaxed BaZn2TcO6 crystal, with properties calculated at the GGA-PBE level.

Lattice parameters (Å, degrees): 6.896 7.156 7.156 94.97 71.17 71.17
Fractional coordinates of all 20 atoms:
Ba 0.250 0.847 0.153
Ba 0.750 0.153 0.847
Zn 0.311 0.668 0.588
Zn 0.189 0.412 0.332
Zn 0.689 0.332 0.412
Zn 0.811 0.588 0.668
Tc 0.250 0.194 0.806
Tc 0.750 0.806 0.194
O 0.186 0.967 0.797
O 0.314 0.203 0.033
O 0.814 0.033 0.203
O 0.686 0.797 0.967
O 0.493 0.841 0.383
O 0.007 0.617 0.159
O 0.507 0.159 0.617
O 0.993 0.383 0.841
O 0.032 0.707 0.554
O 0.468 0.446 0.293
O 0.968 0.293 0.446
O 0.532 0.554 0.707

Results
* uncorrected formation energy: -1575 meV/atom
* final energy: -6.03 eV/atom

***

[2]
Below is a relaxed Ce7PuRh2 crystal, with properties calculated at the GGA-PBE level.

Lattice parameters (Å, degrees): 8.041 8.832 8.684 62.95 62.42 62.92
Fractional coordinates of all 20 atoms:
Ce 0.679 0.546 0.865
Ce 0.910 0.046 0.365
Ce 0.257 0.875 0.980
Ce 0.383 0.178 0.523
Ce 0.508 0.250 0.750
Ce 0.888 0.375 0.480
Ce 0.084 0.322 0.977
Ce 0.916 0.678 0.023
Ce 0.112 0.625 0.520
Ce 0.492 0.750 0.250
Ce 0.617 0.822 0.477
Ce 0.743 0.125 0.020
Ce 0.090 0.954 0.635
Ce 0.321 0.454 0.135
Pu 0.027 0.250 0.750
Pu 0.973 0.750 0.250
Rh 0.673 0.888 0.775
Rh 0.663 0.388 0.275
Rh 0.337 0.612 0.725
Rh 0.327 0.112 0.225

Results
* energy relative to the lowest polymorph listed for this composition: 0 meV per atom
* ΔE_f: -0.2368 eV/atom
* final energy: -7.29 eV/atom

***

[3]
Below is a relaxed RbLiN2F crystal, with properties calculated at the GGA-PBE level.

Lattice parameters (Å, degrees): 4.409 4.409 4.212 90.00 90.00 90.00
Fractional coordinates of all 5 atoms:
N 0.000 0.500 0.000
N 0.500 0.000 0.000
Li 0.000 0.000 0.000
Rb 0.500 0.500 0.500
F 0.000 0.000 0.500

Results
* uncorrected formation energy: 425 meV/atom
* energy relative to the lowest polymorph listed for this composition: 0 meV per atom
* final energy: -3.86 eV/atom

***

[4]
Below is a relaxed CdAgPO4 crystal, with properties calculated at the GGA-PBE level.

Lattice parameters (Å, degrees): 5.473 5.473 5.473 120.00 120.00 90.00
Fractional coordinates of all 7 atoms:
Cd 0.500 0.500 0.000
Ag 0.000 0.000 0.000
P 0.250 0.750 0.500
O 0.210 0.044 0.724
O 0.319 0.790 0.276
O 0.514 0.681 0.724
O 0.956 0.486 0.276

Results
* uncorrected formation energy: -1524 meV/atom
* final energy: -5.67 eV/atom

***

[5]
Below is a relaxed CaHN2 crystal, with properties calculated at the GGA-PBE level.

Lattice parameters (Å, degrees): 4.691 4.691 4.691 49.90 49.90 49.90
Fractional coordinates of all 4 atoms:
H 0.000 0.000 0.000
Ca 0.500 0.500 0.500
N 0.903 0.903 0.903
N 0.097 0.097 0.097

Results
* energy relative to the lowest polymorph listed for this composition: 20 meV per atom
* final energy: -4.87 eV/atom

***

[6]
Below is a relaxed CuTc2Ni crystal, with properties calculated at the GGA-PBE level.

Lattice parameters (Å, degrees): 3.166 3.166 5.220 90.00 90.00 90.00
Fractional coordinates of all 4 atoms:
Cu 0.500 0.500 0.250
Ni 0.500 0.500 0.750
Tc 0.000 0.000 0.992
Tc 0.000 0.000 0.508

Results
* energy relative to the lowest polymorph listed for this composition: 186 meV per atom
* ΔE_f: 0.2863 eV/atom
* final energy: -7.37 eV/atom

***

Question: The highest final energy belongs to which entry?
Answer: RbLiN2F